Here is an optimized crystal structure of BaCo2F8 from the Alexandria database. Energies are from PBE+U.

* symmetry: I422 (97)
* E: -0.176 hartree per atom
* calculated volume: 189.55 Å³ per cell

a b c (Å): 7.1872 7.1872 7.1872
angles (deg): 133.90 133.90 67.24
Last column: nearest neighbours and their distance in Å.
Positions (direct):
Ba 0.0000 0.0000 0.0000  8 F 2.70
Co 0.2500 0.7500 0.5000  4 F 1.80
Co 0.7500 0.2500 0.5000  4 F 1.80
F 0.0118 0.5213 0.8230  1 Co 1.80
F 0.1888 0.0118 0.4905  1 Co 1.80
F 0.3017 0.4787 0.4905  1 Co 1.80
F 0.4787 0.9882 0.1770  1 Co 1.80
F 0.5213 0.6983 0.5095  1 Co 1.80
F 0.6983 0.1888 0.1770  1 Co 1.80
F 0.8112 0.3017 0.8230  1 Co 1.80
F 0.9882 0.8112 0.5095  1 Co 1.80